MnBeCd2H | PBE | optimized geometry

abc: 5.269 3.079 5.269
angles: 90.00 90.00 90.00
Sites, in units of the cell vectors:
Cd1 0.500 0.000 0.000
Be1 0.500 0.500 0.500
Mn1 0.000 0.000 0.000
H1 0.000 0.500 0.000
Cd2 0.000 0.000 0.500

Results
space group	P4/mmm
N(E_F)	3.34	states/eV/f.u.
total energy	-14.38	eV for the cell shown